Below is a relaxed Cd4HgAu crystal, with properties calculated at the PBEsol level.

Its total magnetization is 0.0 μB/f.u. The density is 11.4 g/cm³. The volume is 494.67 Å³ per cell. The energy relative to the elements comes out at 0.1261 eV/atom.

The structure belongs to space group F-43m (No. 216); the cell edges are 7.9087, 7.9087 and 7.9087 Å and the angles 90.00°, 90.00° and 90.00°. Symmetry generates all atoms from Cd at (0.1253, 0.1253, 0.1253), Hg at (0.2500, 0.2500, 0.7500) and Au at (0.0000, 0.0000, 0.5000).